[1]
A PBEsol-optimized structure of BaFeTc. Source: Alexandria, functional SCAN.

The structure in CIF format:
```
data_BaFeTc
_chemical_formula_sum 'Ba1 Fe1 Tc1'
_cell_length_a 3.8486
_cell_length_b 3.8486
_cell_length_c 5.2830
_cell_angle_alpha 90.00
_cell_angle_beta 90.00
_cell_angle_gamma 120.00
_symmetry_space_group_name_H-M 'P 3 m 1'
_symmetry_Int_Tables_number 156
loop_
_symmetry_equiv_pos_as_xyz
'x,y,z'
'-y,x-y,z'
'-x+y,-x,z'
'-y,-x,z'
'-x+y,y,z'
'x,x-y,z'
loop_
_atom_site_label
_atom_site_type_symbol
_atom_site_fract_x
_atom_site_fract_y
_atom_site_fract_z
Ba1 Ba 0.0000 0.0000 0.0000
Fe1 Fe 0.3333 0.6667 0.5279
Tc1 Tc 0.6667 0.3333 0.4826
```

As for the formation energy from the elements: 0.735 eV per atom. Its crystal system is trigonal.



[2]
A PBEsol-optimized structure of Ba2FeTc. Source: Alexandria, functional SCAN.

The structure in CIF format:
```
data_Ba2FeTc
_chemical_formula_sum 'Ba4 Fe2 Tc2'
_cell_length_a 4.6207
_cell_length_b 4.8729
_cell_length_c 9.5464
_cell_angle_alpha 90.00
_cell_angle_beta 90.00
_cell_angle_gamma 90.00
_symmetry_space_group_name_H-M 'C m m 2'
_symmetry_Int_Tables_number 35
loop_
_symmetry_equiv_pos_as_xyz
'x,y,z'
'-x,-y,z'
'-x,y,z'
'x,-y,z'
'x+1/2,y+1/2,z'
'-x+1/2,-y+1/2,z'
'-x+1/2,y+1/2,z'
'x+1/2,-y+1/2,z'
loop_
_atom_site_label
_atom_site_type_symbol
_atom_site_fract_x
_atom_site_fract_y
_atom_site_fract_z
Ba1 Ba 0.0000 0.0000 0.0000
Ba2 Ba 0.0000 0.5000 0.4176
Fe1 Fe 0.0000 0.0000 0.6878
Tc1 Tc 0.0000 0.5000 0.7255
```

As for the formation energy from the elements: 0.696 eV per atom. Its crystal system is orthorhombic.



[3]
A PBEsol-optimized structure of BaFeTc2. Source: Alexandria, functional SCAN.

The structure in CIF format:
```
data_BaFeTc2
_chemical_formula_sum 'Ba1 Fe1 Tc2'
_cell_length_a 3.6677
_cell_length_b 4.3065
_cell_length_c 5.9293
_cell_angle_alpha 90.00
_cell_angle_beta 104.06
_cell_angle_gamma 90.00
_symmetry_space_group_name_H-M 'P 1 2/m 1'
_symmetry_Int_Tables_number 10
loop_
_symmetry_equiv_pos_as_xyz
'x,y,z'
'-x,-y,-z'
'-x,y,-z'
'x,-y,z'
loop_
_atom_site_label
_atom_site_type_symbol
_atom_site_fract_x
_atom_site_fract_y
_atom_site_fract_z
Ba1 Ba 0.0000 0.0000 0.0000
Fe1 Fe 0.5000 0.0000 0.5000
Tc1 Tc 0.2877 0.5000 0.6218
```

As for the formation energy from the elements: 0.788 eV per atom. The energy above the most stable polymorph in this dataset is 0 meV/atom. Its crystal system is monoclinic.